Density functional theory data (meta-GGA SCAN) for AlCrTc2 at its PBEsol-relaxed geometry.

Summary:
Formation energy from the elements, eV per atom: 0.04
DFT total energy, hartree per atom: -0.88284

a b c (Å): 8.6954 8.6954 8.6954
angles (deg): 17.89 17.89 17.89
Positions (direct):
Al: 0.0000 0.0000 0.0000
Cr: 0.2513 0.2513 0.2513
Tc: 0.5036 0.5036 0.5036
Tc: 0.7540 0.7540 0.7540